A plane-wave DFT calculation with PBE-GGA was carried out for a relaxed Ho2IrRh crystal.

Cell lengths 4.742, 4.742, 3.527 Å; angles 90.00, 90.00, 90.00 degrees
Space group P4/mmm (No. 123)
One atom of each set of equivalent atoms:
Ho 0.000 0.500 0.000 (multiplicity 2)
Ir 0.000 0.000 0.500 (multiplicity 1)
Rh 0.500 0.500 0.500 (multiplicity 1)

Properties
The density of states at the Fermi level is 1.546 states/eV/cell. Its energy above the lowest structure with this stoichiometry is 0.37 kcal/mol of atoms. The energy relative to the elements is -0.887 eV per atom. The calculation puts the volume at 19.82 Å³ per atom. As for the mass density: 13.09 g/cm³.

A plane-wave DFT calculation with PBE-GGA was carried out for a relaxed Sr2ScCdPd crystal.

Cell lengths 5.935, 5.935, 5.067 Å; angles 90.00, 90.00, 90.00 degrees
Space group P4/mmm (No. 123)
One atom of each set of equivalent atoms:
Sr 0.000 0.500 0.000 (multiplicity 2)
Sc 0.000 0.000 0.500 (multiplicity 1)
Cd 0.500 0.500 0.500 (multiplicity 1)
Pd 0.000 0.000 0.000 (multiplicity 1)

Properties
The density of states at the Fermi level is 4.895 states/eV/cell. The energy relative to the elements is -0.161 eV per atom. The calculation puts the volume at 35.69 Å³ per atom. As for the mass density: 4.09 g/cm³.

A plane-wave DFT calculation with PBE-GGA was carried out for a relaxed La2CuOs crystal.

Cell lengths 3.530, 3.530, 8.074 Å; angles 90.00, 90.00, 90.00 degrees
Space group P4mm (No. 99)
One atom of each set of equivalent atoms:
La 0.000 0.000 0.000 (multiplicity 1)
La 0.500 0.500 0.432 (multiplicity 1)
Cu 0.500 0.500 0.787 (multiplicity 1)
Os 0.000 0.000 0.669 (multiplicity 1)

Properties
The density of states at the Fermi level is 4.740 states/eV/cell. The energy relative to the elements is 0.172 eV per atom. The calculation puts the volume at 25.16 Å³ per atom. As for the mass density: 8.77 g/cm³.

A plane-wave DFT calculation with PBE-GGA was carried out for a relaxed La4Cu2Au5 crystal.

Cell lengths 7.595, 4.019, 8.890 Å; angles 90.00, 90.44, 90.00 degrees
Space group P2/m (No. 10)
One atom of each set of equivalent atoms:
La 0.222 0.000 0.135 (multiplicity 2)
La 0.261 0.000 0.619 (multiplicity 2)
Cu 0.063 0.500 0.377 (multiplicity 2)
Au 0.126 0.500 0.871 (multiplicity 2)
Au 0.409 0.500 0.356 (multiplicity 2)
Au 0.500 0.500 0.000 (multiplicity 1)

Properties
The density of states at the Fermi level is 7.868 states/eV/cell. The energy relative to the elements is -0.651 eV per atom. The calculation puts the volume at 24.67 Å³ per atom. As for the mass density: 10.20 g/cm³.